# RhAuSe2 (PBE-GGA, relaxed)
# N(E_F): 2.59 states/eV/cell
# raw formation energy: 0.29 eV per atom
data_RhAuSe2
_chemical_formula_sum 'Rh1 Au1 Se2'
_cell_length_a 4.571
_cell_length_b 4.571
_cell_length_c 3.393
_cell_angle_alpha 90.00
_cell_angle_beta 90.00
_cell_angle_gamma 95.78
_space_group_name_H-M_alt 'P 1'
_space_group_IT_number 1
_space_group_name_Hall 'P 1'
loop_
_atom_site_label
_atom_site_type_symbol
_atom_site_fract_x
_atom_site_fract_y
_atom_site_fract_z
Rh1 Rh 0.000 0.000 0.000
Au1 Au 0.500 0.500 0.000
Se1 Se 0.000 0.500 0.500
Se2 Se 0.500 0.000 0.500